The following is a GGA-PBE calculation of crystalline CsAsSe at its relaxed geometry, from the Alexandria database.

Cell: 3.7760 5.9769 10.2783 Å, 73.46 80.03 89.62°
Last column: nearest neighbours and their distance in Å.
Fractional positions:
Cs 0.0987 0.2449 0.2927  6 Se 3.57-3.84, 2 Cs 3.78, 4 As 3.90-4.00
Cs 0.9013 0.7551 0.7073  6 Se 3.57-3.84, 2 Cs 3.78, 4 As 3.90-4.00
As 0.2370 0.8661 0.0281  2 As 2.43-2.44
As 0.7630 0.1339 0.9719  2 As 2.43-2.44
Se 0.4572 0.3353 0.5960  1 Se 2.33
Se 0.5428 0.6647 0.4040  1 Se 2.33

The following is a GGA-PBE calculation of crystalline AcLa5Pd2 at its relaxed geometry, from the Alexandria database.

Cell: 6.8913 6.8913 19.1406 Å, 90.00 90.00 145.31°
Last column: nearest neighbours and their distance in Å.
Fractional positions:
Ac 0.1352 0.8648 0.7500  4 Pd 3.36, 3 La 3.56-3.65
Ac 0.8648 0.1352 0.2500  4 Pd 3.36, 3 La 3.56-3.65
La 0.1352 0.8648 0.2500  2 Pd 2.94
La 0.1444 0.8556 0.5377  2 Pd 2.91
La 0.1444 0.8556 0.9623  2 Pd 2.91
La 0.4362 0.5638 0.6136  2 Pd 3.41, 6 La 3.45-3.72
La 0.4362 0.5638 0.8864  2 Pd 3.41, 6 La 3.45-3.72
La 0.5638 0.4362 0.1136  2 Pd 3.41, 6 La 3.45-3.72
La 0.5638 0.4362 0.3864  2 Pd 3.41, 6 La 3.45-3.72
La 0.8556 0.1444 0.0377  2 Pd 2.91
La 0.8556 0.1444 0.4623  2 Pd 2.91
La 0.8648 0.1352 0.7500  2 Pd 2.94
Pd 0.2693 0.7307 0.1272  3 La 2.91-2.94
Pd 0.2693 0.7307 0.3728  3 La 2.91-2.94
Pd 0.7307 0.2693 0.6272  3 La 2.91-2.94
Pd 0.7307 0.2693 0.8728  3 La 2.91-2.94

The following is a GGA-PBE calculation of crystalline NiTe2I at its relaxed geometry, from the Alexandria database.

Cell: 3.9733 5.1167 5.7870 Å, 111.35 90.14 90.01°
Last column: nearest neighbours and their distance in Å.
Fractional positions:
Ni 0.0000 0.0000 0.0000  4 Te 2.56
Te 0.5004 0.3350 0.1542  2 Ni 2.56, 1 Te 2.87
Te 0.4996 0.6650 0.8458  2 Ni 2.56, 1 Te 2.87
I 0.0000 0.0000 0.5000  2 Ni 2.89

The following is a GGA-PBE calculation of crystalline La2PRuN at its relaxed geometry, from the Alexandria database.

Cell: 3.9900 3.9900 12.5756 Å, 90.00 90.00 90.00°
Last column: nearest neighbours and their distance in Å.
Fractional positions:
La 0.2500 0.2500 0.0924  1 N 2.34
La 0.2500 0.2500 0.7000  1 N 2.60
La 0.7500 0.7500 0.3000  1 N 2.60
La 0.7500 0.7500 0.9076  1 N 2.34
P 0.2500 0.2500 0.3997  4 Ru 2.36
P 0.7500 0.7500 0.6003  4 Ru 2.36
Ru 0.2500 0.7500 0.5000  4 P 2.36
Ru 0.7500 0.2500 0.5000  4 P 2.36
N 0.2500 0.2500 0.9065  2 La 2.34-2.60
N 0.7500 0.7500 0.0935  2 La 2.34-2.60

The following is a GGA-PBE calculation of crystalline Ca2NiAuN at its relaxed geometry, from the Alexandria database.

Cell: 5.4056 5.4056 3.4916 Å, 90.00 90.00 90.00°
Last column: nearest neighbours and their distance in Å.
Fractional positions:
Ca 0.0000 0.5000 0.0000  2 Ni 2.70
Ca 0.5000 0.0000 0.0000  2 Ni 2.70
Ni 0.0000 0.0000 0.0000  2 N 1.75
Au 0.5000 0.5000 0.5000  8 Ca 3.22, 2 Au 3.49
N 0.0000 0.0000 0.5000  2 Ni 1.75

The following is a GGA-PBE calculation of crystalline Nd3Dy2YS6 at its relaxed geometry, from the Alexandria database.

Cell: 6.8766 6.8766 6.9767 Å, 99.44 99.44 120.17°
Last column: nearest neighbours and their distance in Å.
Fractional positions:
Nd 0.0000 0.0000 0.0000  6 S 2.88
Nd 0.3336 0.6664 0.0000  6 S 2.88
Nd 0.6664 0.3336 0.0000  6 S 2.88
Dy 0.1666 0.8334 0.5000  6 S 2.76
Dy 0.8334 0.1666 0.5000  6 S 2.76
Y 0.5000 0.5000 0.5000  6 S 2.77
S 0.0878 0.4219 0.2652  2 Dy 2.76, 1 Y 2.77, 3 Nd 2.88
S 0.2441 0.2441 0.7346  2 Dy 2.76, 1 Y 2.77, 3 Nd 2.88
S 0.4219 0.0878 0.2652  2 Dy 2.76, 1 Y 2.77, 3 Nd 2.88
S 0.5781 0.9122 0.7348  2 Dy 2.76, 1 Y 2.77, 3 Nd 2.88
S 0.7559 0.7559 0.2654  2 Dy 2.76, 1 Y 2.77, 3 Nd 2.88
S 0.9122 0.5781 0.7348  2 Dy 2.76, 1 Y 2.77, 3 Nd 2.88

no.,DFT total energy (Ry per atom),V (Å³/atom)
1,-0.256,36.5
2,-0.385,32.3
3,-0.258,27.4
4,-0.564,20.0
5,-0.338,20.4
6,-0.484,22.4